The following is a PBE with a Hubbard U calculation of a geometry-optimized BaCo2PtO8 structure, from Alexandria via LeMat-Bulk.

Calculated values
total magnetic moment	7.99	μB/f.u.
total energy	-5.660	eV/atom

Cell lengths 5.133, 5.133, 7.587 Å; angles 90.00, 90.00, 120.00 degrees
Last column: magnetic moment on the atom in μB.
Element x y z (fractional)
O1 0.667 0.333 0.057  0.51
Co1 0.333 0.667 0.717  2.80
O2 0.984 0.689 0.342  0.18
O3 0.311 0.295 0.342  0.18
O4 0.689 0.705 0.658  0.18
O5 0.016 0.311 0.658  0.18
O6 0.705 0.016 0.342  0.18
O7 0.333 0.667 0.943  0.51
Co2 0.667 0.333 0.283  2.80
Ba1 0.000 0.000 0.000  0.01
Pt1 0.000 0.000 0.500  -0.23
O8 0.295 0.984 0.658  0.18